Computed, not measured: a relaxed structure of TbZn2Co2Si at the PBE level of DFT.

Lattice parameters (Å, degrees): 4.226 4.226 5.576 90.00 90.00 90.00
Atoms (fractional coordinates):
Tb1 0.000 0.000 0.000
Zn1 0.500 0.500 0.234
Zn2 0.500 0.500 0.766
Co1 0.000 0.500 0.500
Co2 0.500 0.000 0.500
Si1 0.000 0.000 0.500

As for the space group: No. 123. The calculation puts the total energy at -4.6694 eV/atom. The value obtained for the formation energy from raw total energies is -19.4 kJ per mole of atoms.